Record 1
# SrNpPaN4 (PBE-GGA, optimized geometry)
# * E: -129.50 eV/cell
# * DOS(E_F): 9.2 states/eV/cell
# * raw formation energy: -1.05 eV/atom
# * theoretical density: 9.10 g/cm³
data_SrNpPaN4
_space_group_name_H-M_alt 'I 4 m m'
_space_group_IT_number 107
_space_group_name_Hall 'I 4 -2'
_cell_length_a 4.180
_cell_length_b 4.180
_cell_length_c 12.778
_cell_angle_alpha 90.00
_cell_angle_beta 90.00
_cell_angle_gamma 90.00
loop_
_atom_site_label
_atom_site_fract_x
_atom_site_fract_y
_atom_site_fract_z
_atom_site_occupancy
Sr1 0.000 0.000 0.000 1
Np1 0.000 0.000 0.350 1
Pa1 0.000 0.000 0.705 1
N1 0.000 0.000 0.185 1
N2 0.000 0.000 0.542 1
N3 0.000 0.500 0.330 1

***

Record 2
# Sr4NpPa3N8 (PBE-GGA, optimized geometry)
# * E: -405.10 eV/cell
# * DOS(E_F): 50.1 states/eV/cell
# * raw formation energy: -1.27 eV/atom
# * theoretical density: 8.56 g/cm³
data_Sr4NpPa3N8
_space_group_name_H-M_alt 'R -3 m'
_space_group_IT_number 166
_space_group_name_Hall '-R 3 2"'
_cell_length_a 7.2166
_cell_length_b 7.2166
_cell_length_c 17.9713
_cell_angle_alpha 90.00
_cell_angle_beta 90.00
_cell_angle_gamma 120.00
loop_
_atom_site_label
_atom_site_fract_x
_atom_site_fract_y
_atom_site_fract_z
_atom_site_occupancy
Sr1 0.0000 0.0000 0.0000 1
Sr2 0.0000 0.5000 0.0000 1
Np1 0.0000 0.0000 0.5000 1
Pa1 0.0000 0.5000 0.5000 1
N1 0.0000 0.0000 0.2312 1
N2 0.0061 0.5030 0.7689 1

***

Record 3
# SrNpPa4N8 (PBE-GGA, optimized geometry)
# * E: -413.51 eV/cell
# * DOS(E_F): 24.2 states/eV/cell
# * raw formation energy: -1.33 eV/atom
# * theoretical density: 9.31 g/cm³
data_SrNpPa4N8
_space_group_name_H-M_alt 'R 3 m'
_space_group_IT_number 160
_space_group_name_Hall 'R 3 -2"'
_cell_length_a 7.0478
_cell_length_b 7.0478
_cell_length_c 16.9315
_cell_angle_alpha 90.00
_cell_angle_beta 90.00
_cell_angle_gamma 120.00
loop_
_atom_site_label
_atom_site_fract_x
_atom_site_fract_y
_atom_site_fract_z
_atom_site_occupancy
Sr1 0.0000 0.0000 0.0000 1
Np1 0.0000 0.0000 0.3821 1
Pa1 0.0000 0.0000 0.6144 1
Pa2 0.1674 0.3348 0.8326 1
N1 0.0000 0.0000 0.2337 1
N2 0.0000 0.0000 0.7596 1
N3 0.0176 0.5088 0.7667 1
N4 0.1719 0.3438 0.5703 1

***

Record 4
# Sr2NpPaN4 (PBE-GGA, optimized geometry)
# * E: -68.58 eV/cell
# * DOS(E_F): 10.6 states/eV/cell
# * raw formation energy: -1.19 eV/atom
# * theoretical density: 8.65 g/cm³
data_Sr2NpPaN4
_space_group_name_H-M_alt 'P 1 2/m 1'
_space_group_IT_number 10
_space_group_name_Hall '-P 2y'
_cell_length_a 6.244
_cell_length_b 3.594
_cell_length_c 6.345
_cell_angle_alpha 90.00
_cell_angle_beta 109.42
_cell_angle_gamma 90.00
loop_
_atom_site_label
_atom_site_fract_x
_atom_site_fract_y
_atom_site_fract_z
_atom_site_occupancy
Sr1 0.000 0.000 0.000 1
Sr2 0.500 0.500 0.000 1
Np1 0.000 0.500 0.500 1
Pa1 0.500 0.000 0.500 1
N1 0.233 0.000 0.693 1
N2 0.276 0.500 0.304 1